Pm3Dy2Ho | PBE-GGA | optimized geometry

Calculated values
As for the polymorph energy (0 for the lowest one): 0.00 eV per formula unit. As for the density: 7.834 g/cm³. The formation energy comes out at -4 meV/atom. As for the space group: Cmcm, No. 63. The calculated volume is 32.67 A^3/atom. Its total energy is -4.676 eV per atom.

POSCAR file:
```
Pm3Dy2Ho
1.0
5.4100 -3.1233 0.0000
5.4100 3.1233 0.0000
0.0000 0.0000 11.6024
Pm Dy Ho
6 4 2
direct
0.0000 0.0000 0.0000 Pm
0.0000 0.0000 0.5000 Pm
0.3336 0.3336 0.0000 Pm
0.3336 0.3336 0.5000 Pm
0.6664 0.6664 0.0000 Pm
0.6664 0.6664 0.5000 Pm
0.0001 0.3334 0.2500 Dy
0.9999 0.6666 0.7500 Dy
0.3334 0.0001 0.7500 Dy
0.6666 0.9999 0.2500 Dy
0.3333 0.6667 0.2500 Ho
0.6667 0.3333 0.7500 Ho
```